A geometry-optimized Y2SiBr structure. Source: Alexandria, functional PBE.

a b c (Å): 7.470 7.539 3.379
angles (deg): 90.00 98.35 90.00
Space group C2/m (No. 12)
Asymmetric unit:
Y  0.250  0.250  0.000 (multiplicity 4)
Si  0.000  0.000  0.500 (multiplicity 2)
Br  0.000  0.500  0.500 (multiplicity 2)

ρ = 5.0 g/cm³
Formation energy from raw total energies = -0.70 eV/atom
DOS(E_F) = 5.84 states/eV per cell
Energy relative to the lowest polymorph listed for this composition = 1.35 eV/f.u.
Final energy = -5.709 eV per atom